Material: MnSe2N
Method: DFT, GGA-PBE
State: relaxed

Output
space-group type = I-42d, No. 122
size of the total moment = 8.019 μB/cell
final energy = -5.3848 eV per atom
N(E_F) = 1.7 states/eV/f.u.
E_form (uncorrected) = 0.731 eV per atom
volume = 79.6 Å³/f.u.

Lattice parameters (Å, degrees): 5.2377 5.2377 6.8841 67.64 67.64 90.00
With the nearest neighbours (Å) after each atom.
Fractional coordinates of all 8 atoms:
N 0.5000 0.5000 0.0000  4 Se 2.20
N 0.2500 0.7500 0.5000  4 Se 2.20
Se 0.3750 0.4321 0.7500  2 N 2.20
Se 0.8750 0.8179 0.7500  2 N 2.20
Se 0.1821 0.6250 0.2500  2 N 2.20
Se 0.5679 0.1250 0.2500  2 N 2.20
Mn 0.0000 0.0000 0.0000  4 Se 2.53
Mn 0.7500 0.2500 0.5000  4 Se 2.53

Material: K4TbPr3Se8
Method: DFT, GGA-PBE
State: relaxed

Output
space-group type = R-3m, No. 166
size of the total moment = 0.000 μB/cell
final energy = -4.9534 eV per atom
N(E_F) = 0.0 states/eV/f.u.
E_form (uncorrected) = -1.751 eV per atom
volume = 503.9 Å³/f.u.

Lattice parameters (Å, degrees): 8.6883 9.1989 8.6885 118.21 120.00 90.00
With the nearest neighbours (Å) after each atom.
Fractional coordinates of all 16 atoms:
Se 0.7672 0.2903 0.5344  1 Tb 2.94, 2 Pr 3.01
Se 0.7379 0.7135 0.4758  3 Pr 3.00, 3 K 3.34
Se 0.7444 0.7097 0.9771  1 Tb 2.93, 2 Pr 3.01
Se 0.2621 0.2865 0.5242  3 Pr 3.00, 3 K 3.34
Se 0.2328 0.7097 0.4656  1 Tb 2.94, 2 Pr 3.01
Se 0.2556 0.2903 0.0229  1 Tb 2.93, 2 Pr 3.01
Se 0.2327 0.7097 0.9771  1 Tb 2.93, 2 Pr 3.01
Se 0.7673 0.2903 0.0229  1 Tb 2.93, 2 Pr 3.01
K 0.5000 0.0000 0.5000  6 Se 3.34
K 0.0000 0.0000 0.0000  6 Se 3.34
K 0.0000 0.0000 0.5000  6 Se 3.34
K 0.5000 0.0000 0.0000  6 Se 3.40-3.41
Pr 0.0000 0.5000 0.5000  6 Se 3.00-3.01
Pr 0.5000 0.5000 0.0000  6 Se 3.00-3.01
Pr 0.5000 0.5000 0.5000  6 Se 3.00-3.01
Tb 0.0000 0.5000 0.0000  6 Se 2.93-2.94

Material: SiNi2GeSb
Method: DFT, GGA-PBE
State: relaxed

Output
space-group type = P4/mmm, No. 123
size of the total moment = 0.000 μB/cell
final energy = -4.3184 eV per atom
N(E_F) = 5.4 states/eV/f.u.
E_form (uncorrected) = 0.827 eV per atom
volume = 103.6 Å³/f.u.

Lattice parameters (Å, degrees): 4.3605 5.4480 4.3605 90.00 90.00 90.00
With the nearest neighbours (Å) after each atom.
Fractional coordinates of all 5 atoms:
Ni 0.0000 0.0000 0.5000  2 Ge 2.18
Ni 0.5000 0.0000 0.0000  2 Ge 2.18
Sb 0.0000 0.5000 0.0000  2 Ge 2.72
Ge 0.0000 0.0000 0.0000  4 Ni 2.18
Si 0.5000 0.5000 0.5000  4 Sb 3.08

Material: CsBaSr2Au
Method: DFT, GGA-PBE
State: relaxed

Output
space-group type = P4/mmm, No. 123
size of the total moment = 0.000 μB/cell
final energy = -2.0449 eV per atom
distance to the lowest polymorph of the same formula = 0.105 eV/atom
N(E_F) = 3.6 states/eV/f.u.
volume = 275.5 Å³/f.u.

Lattice parameters (Å, degrees): 6.2950 6.2950 6.9528 90.00 90.00 90.00
With the nearest neighbours (Å) after each atom.
Fractional coordinates of all 5 atoms:
Ba 0.5000 0.5000 0.5000  4 Cs 4.45, 8 Sr 4.69
Sr 0.0000 0.5000 0.0000  2 Au 3.15
Sr 0.5000 0.0000 0.0000  2 Au 3.15
Cs 0.0000 0.0000 0.5000  2 Au 3.48
Au 0.0000 0.0000 0.0000  4 Sr 3.15, 2 Cs 3.48